(1)
# RbPaRhS3

A geometry-optimized RbPaRhS3 structure (PBE-GGA, the Alexandria database).

Results
final energy: -0.23137 Ha/atom

Unit cell a=8.9358 b=4.0475 c=9.4130 alpha=90.00 beta=110.74 gamma=90.00
Space group P2_1/m (No. 11)
Inequivalent atoms, fractional coordinates:
Rb1 0.2100 0.2500 0.2519 [2 per cell]
Pa1 0.3103 0.7500 0.8295 [2 per cell]
Rh1 0.0925 0.2500 0.5934 [2 per cell]
S1 0.1283 0.2500 0.8605 [2 per cell]
S2 0.2027 0.7500 0.5361 [2 per cell]
S3 0.4655 0.7500 0.1448 [2 per cell]


(2)
# PmTm2Te

A geometry-optimized PmTm2Te structure (PBE-GGA, the Alexandria database).

Results
polymorph energy (0 for the lowest one): 0.115 eV per atom
final energy: -0.17394 Ha/atom

Unit cell a=3.8307 b=3.8307 c=7.9993 alpha=90.00 beta=90.00 gamma=90.00
Space group P4/mmm (No. 123)
Inequivalent atoms, fractional coordinates:
Pm1 0.0000 0.0000 0.0000 [1 per cell]
Tm1 0.5000 0.5000 0.2791 [2 per cell]
Te1 0.0000 0.0000 0.5000 [1 per cell]


(3)
# POs2RuSe

A geometry-optimized POs2RuSe structure (PBE-GGA, the Alexandria database).

Results
final energy: -0.23303 Ha/atom

Unit cell a=4.7933 b=4.7933 c=4.3055 alpha=90.00 beta=90.00 gamma=90.00
Space group P4/mmm (No. 123)
Inequivalent atoms, fractional coordinates:
P1 0.0000 0.0000 0.0000 [1 per cell]
Os1 0.0000 0.5000 0.5000 [2 per cell]
Ru1 0.0000 0.0000 0.5000 [1 per cell]
Se1 0.5000 0.5000 0.0000 [1 per cell]


(4)
# CaMgSb2

A geometry-optimized CaMgSb2 structure (PBE-GGA, the Alexandria database).

Results
final energy: -0.12628 Ha/atom

Unit cell a=6.8933 b=8.3854 c=3.6794 alpha=90.00 beta=90.76 gamma=90.00
Space group C2/m (No. 12)
Inequivalent atoms, fractional coordinates:
Ca1 0.0000 0.0000 0.0000 [2 per cell]
Mg1 0.0000 0.5000 0.0000 [2 per cell]
Sb1 0.2500 0.2500 0.5000 [4 per cell]


(5)
# HgRu2W

A geometry-optimized HgRu2W structure (PBE-GGA, the Alexandria database).

Results
DFT formation energy: 0.284 eV per atom
polymorph energy (0 for the lowest one): 0.065 eV per atom
final energy: -0.28180 Ha/atom

Unit cell a=2.8541 b=2.8541 c=27.6674 alpha=90.00 beta=90.00 gamma=120.00
Space group R-3m (No. 166, hexagonal axes)
Inequivalent atoms, fractional coordinates:
Hg1 0.0000 0.0000 0.0000 [3 per cell]
Ru1 0.0000 0.0000 0.2431 [6 per cell]
W1 0.0000 0.0000 0.5000 [3 per cell]


(6)
# La3TaTe

A geometry-optimized La3TaTe structure (PBE-GGA, the Alexandria database).

Results
polymorph energy (0 for the lowest one): 0.000 eV per atom
final energy: -0.21742 Ha/atom

Unit cell a=5.5882 b=5.5882 c=5.5882 alpha=90.00 beta=90.00 gamma=90.00
Space group Pm-3m (No. 221)
Inequivalent atoms, fractional coordinates:
La1 0.0000 0.0000 0.5000 [3 per cell]
Ta1 0.0000 0.0000 0.0000 [1 per cell]
Te1 0.5000 0.5000 0.5000 [1 per cell]


no.,total magnetization (Bohr magnetons per cell)
1,0.0
2,0.0
3,0.0
4,0.0
5,0.0
6,0.0